# 1
Crystalline LiZn2Os at its relaxed geometry. Source: Alexandria via LeMat-Bulk, functional GGA-PBE.

Calculated values
ΔE_f in eV/f.u.: 0.953
Total DFT energy (no corrections) in eV/cell: -59.0

a b c (Å): 5.988 5.988 5.988
angles (deg): 90.00 90.00 90.00
Space group F-43m (No. 216)
Symmetry-distinct sites (fractional):
Li  0.000  0.000  0.000 x4
Zn  0.000  0.000  0.500 x4
Zn  0.250  0.250  0.750 x4
Os  0.250  0.250  0.250 x4

---

# 2
Crystalline LiZn2Os at its relaxed geometry. Source: Alexandria via LeMat-Bulk, functional GGA-PBE.

Calculated values
ΔE_f in eV/f.u.: 0.413
Total DFT energy (no corrections) in eV/cell: -15.3

a b c (Å): 2.967 2.967 6.214
angles (deg): 90.00 90.00 90.00
Space group P4/mmm (No. 123)
Symmetry-distinct sites (fractional):
Li  0.000  0.000  0.000 x1
Zn  0.500  0.500  0.243 x2
Os  0.000  0.000  0.500 x1

---

# 3
Crystalline Li2ZnOs at its relaxed geometry. Source: Alexandria via LeMat-Bulk, functional GGA-PBE.

Calculated values
ΔE_f in eV/f.u.: 0.381
Total DFT energy (no corrections) in eV/cell: -31.9

a b c (Å): 9.111 2.517 4.935
angles (deg): 90.00 97.04 90.00
Space group Cm (No. 8)
Symmetry-distinct sites (fractional):
Li  0.000  0.000  0.000 x2
Li  0.241  0.000  0.768 x2
Zn  0.243  0.500  0.296 x2
Os  0.489  0.000  0.495 x2

---

# 4
Crystalline LiZnOs2 at its relaxed geometry. Source: Alexandria via LeMat-Bulk, functional GGA-PBE.

Calculated values
ΔE_f in eV/f.u.: 1.267
Total DFT energy (no corrections) in eV/cell: -48.8

a b c (Å): 2.790 4.574 9.143
angles (deg): 90.00 90.00 90.00
Space group Cmm2 (No. 35)
Symmetry-distinct sites (fractional):
Li  0.000  0.000  0.000 x2
Zn  0.000  0.500  0.747 x2
Os  0.000  0.000  0.493 x2
Os  0.000  0.500  0.249 x2

---

# 5
Crystalline Li2ZnOs at its relaxed geometry. Source: Alexandria via LeMat-Bulk, functional GGA-PBE.

Calculated values
ΔE_f in eV/f.u.: 0.819
Total DFT energy (no corrections) in eV/cell: -31.0

a b c (Å): 3.608 3.608 8.310
angles (deg): 90.00 90.00 90.00
Space group I4/mmm (No. 139)
Symmetry-distinct sites (fractional):
Li  0.000  0.500  0.250 x4
Zn  0.000  0.000  0.000 x2
Os  0.000  0.000  0.500 x2

---

# 6
Crystalline Li12Zn6Os at its relaxed geometry. Source: Alexandria via LeMat-Bulk, functional GGA-PBE.

Calculated values
ΔE_f in eV/f.u.: -1.411
Total DFT energy (no corrections) in eV/cell: -129.8

a b c (Å): 9.4682 9.4682 12.0751
angles (deg): 90.00 90.00 120.00
Space group R-3 (No. 148, hexagonal axes)
Symmetry-distinct sites (fractional):
Li  0.0356  0.8503  0.3130 x18
Li  0.0608  0.2190  0.9128 x18
Zn  0.0360  0.5925  0.2031 x18
Os  0.0000  0.0000  0.5000 x3

---

# 7
Crystalline LiZnOs at its relaxed geometry. Source: Alexandria via LeMat-Bulk, functional GGA-PBE.

Calculated values
ΔE to the lowest computed polymorph in eV/atom: 0.9902
ΔE_f in eV/f.u.: 3.010
Total DFT energy (no corrections) in eV/cell: -45.6

a b c (Å): 5.908 5.908 5.908
angles (deg): 90.00 90.00 90.00
Space group F-43m (No. 216)
Symmetry-distinct sites (fractional):
Li  0.000  0.000  0.000 x4
Zn  0.000  0.000  0.500 x4
Os  0.250  0.250  0.750 x4

---

# 8
Crystalline Li2ZnOs at its relaxed geometry. Source: Alexandria via LeMat-Bulk, functional GGA-PBE.

Calculated values
ΔE_f in eV/f.u.: 0.655
Total DFT energy (no corrections) in eV/cell: -31.4

a b c (Å): 2.597 4.538 8.967
angles (deg): 90.00 90.00 90.00
Space group Imm2 (No. 44)
Symmetry-distinct sites (fractional):
Li  0.000  0.000  0.000 x2
Li  0.000  0.500  0.260 x2
Zn  0.000  0.000  0.521 x2
Os  0.000  0.500  0.762 x2

---

# 9
Crystalline Li2ZnOs at its relaxed geometry. Source: Alexandria via LeMat-Bulk, functional GGA-PBE.

Calculated values
ΔE_f in eV/f.u.: 0.448
Total DFT energy (no corrections) in eV/cell: -31.8

a b c (Å): 2.843 4.468 9.311
angles (deg): 90.00 90.00 90.00
Space group Cmm2 (No. 35)
Symmetry-distinct sites (fractional):
Li  0.000  0.000  0.000 x2
Li  0.000  0.500  0.280 x2
Zn  0.000  0.500  0.761 x2
Os  0.000  0.000  0.517 x2

---

# 10
Crystalline LiZn2Os2 at its relaxed geometry. Source: Alexandria via LeMat-Bulk, functional GGA-PBE.

Calculated values
ΔE to the lowest computed polymorph in eV/atom: 0.0602
ΔE_f in eV/f.u.: 1.972
Total DFT energy (no corrections) in eV/cell: -49.9

a b c (Å): 3.621 3.621 12.608
angles (deg): 90.00 90.00 90.00
Space group I4/mmm (No. 139)
Symmetry-distinct sites (fractional):
Li  0.000  0.000  0.000 x2
Zn  0.000  0.000  0.404 x4
Os  0.000  0.500  0.250 x4

---

# 11
Crystalline LiZnOs at its relaxed geometry. Source: Alexandria via LeMat-Bulk, functional GGA-PBE.

Calculated values
ΔE to the lowest computed polymorph in eV/atom: 0.2212
ΔE_f in eV/f.u.: 0.703
Total DFT energy (no corrections) in eV/cell: -27.4

a b c (Å): 2.597 2.597 12.754
angles (deg): 90.00 90.00 90.00
Space group I4mm (No. 107)
Symmetry-distinct sites (fractional):
Li  0.000  0.000  0.000 x2
Zn  0.000  0.000  0.329 x2
Os  0.000  0.000  0.665 x2

---

# 12
Crystalline Li4ZrOs2 at its relaxed geometry. Source: Alexandria via LeMat-Bulk, functional GGA-PBE.

Calculated values
ΔE_f in eV/f.u.: 9.012
Total DFT energy (no corrections) in eV/cell: -59.3

a b c (Å): 4.474 4.474 13.858
angles (deg): 90.00 90.00 90.00
Space group I4/mmm (No. 139)
Symmetry-distinct sites (fractional):
Li  0.000  0.000  0.212 x4
Li  0.000  0.500  0.000 x4
Zr  0.000  0.000  0.000 x2
Os  0.000  0.000  0.414 x4

---

# 13
Crystalline LiZrOs3 at its relaxed geometry. Source: Alexandria via LeMat-Bulk, functional GGA-PBE.

Calculated values
ΔE to the lowest computed polymorph in eV/atom: 0.0000
ΔE_f in eV/f.u.: 3.668
Total DFT energy (no corrections) in eV/cell: -40.5

a b c (Å): 4.202 4.202 4.202
angles (deg): 90.00 90.00 90.00
Space group Pm-3m (No. 221)
Symmetry-distinct sites (fractional):
Li  0.000  0.000  0.000 x1
Zr  0.500  0.500  0.500 x1
Os  0.000  0.000  0.500 x3

---

# 14
Crystalline Li2ZrOs at its relaxed geometry. Source: Alexandria via LeMat-Bulk, functional GGA-PBE.

Calculated values
ΔE_f in eV/f.u.: 0.739
Total DFT energy (no corrections) in eV/cell: -22.9

a b c (Å): 2.625 4.557 5.378
angles (deg): 90.00 90.00 90.00
Space group Pmmm (No. 47)
Symmetry-distinct sites (fractional):
Li  0.000  0.000  0.213 x2
Zr  0.500  0.500  0.500 x1
Os  0.500  0.500  0.000 x1

---

Number 1: volume 214.68 Å³ per cell. Number 2: volume 54.69 Å³ per cell. Number 3: volume 112.30 Å³ per cell. Number 4: volume 116.68 Å³ per cell. Number 5: volume 108.14 Å³ per cell. Number 6: volume 937.47 Å³ per cell. Number 7: volume 206.23 Å³ per cell. Number 8: volume 105.69 Å³ per cell. Number 9: volume 118.27 Å³ per cell. Number 10: volume 165.30 Å³ per cell. Number 11: volume 86.04 Å³ per cell. Number 12: volume 277.42 Å³ per cell. Number 13: volume 74.19 Å³ per cell. Number 14: volume 64.34 Å³ per cell.